[1]
## TcSbPt2 (PBE-GGA)

Data for TcSbPt2 after structural relaxation.

```
4
Lattice="-2.0285 0.5544 1.9876 -0.8338 -2.7697 -0.0784 5.4616 -1.8163 6.0806" Properties=species:S:1:pos:R:3 pbc="T T T"
Tc 2.6651 -2.4699 5.5151
Pt 2.9107 -0.9680 3.2406
Pt 5.2818 -1.7565 5.8804
Sb -0.0657 -1.5618 2.4747
```

Results
DOS at the Fermi energy = 0.781 states/eV/atom
space group = P4/mmm
size of the total moment = 0.0 μB per cell
raw formation energy = 0.046 eV per atom

=====

[2]
## La4PmY6 (PBE-GGA)

Data for La4PmY6 after structural relaxation.

```
11
Lattice="-0.2791 -2.9034 -2.1501 10.6570 -2.5003 1.9927 -7.9961 -4.0932 6.5653" Properties=species:S:1:pos:R:3 pbc="T T T"
Y 0.0720 -6.3727 5.5425
Y -1.1208 -3.4172 1.7064
Pm 0.0000 0.0000 0.0000
Y 1.6820 -3.2668 4.1928
Y -4.7050 -5.2520 4.6493
La -1.7784 -3.5623 5.0411
La 1.9829 -2.9009 0.6063
Y 6.4080 -4.3756 5.0765
La 7.5448 -4.2058 1.6464
La 3.3716 -6.3421 5.0728
Y 5.2280 -1.4515 1.2813
```

Results
DOS at the Fermi energy = 1.698 states/eV/atom
space group = P-6m2
size of the total moment = 0.0 μB per cell
DFT formation energy = 0.18 eV/atom
relative energy among the computed polymorphs = 0.0 meV per atom

=====

DOS at the Fermi energy of number 1 (TcSbPt2)?
0.781 states/eV/atom